16
Lattice="-2.382 -0.568 -2.641 1.877 -6.176 2.091 -13.542 0.017 12.208" Properties=species:S:1:pos:R:3 comment="Y3Ho3Co2 | Alexandria | PBE | relaxed" dos_at_fermi_per_ev_cell=18.0 space_group="Cmcm (63)" ef_ev_per_atom=-0.06 pbc="T T T"
Ho -2.782 -5.680 3.730
Y -12.264 -0.828 11.238
Y -4.280 -3.072 2.064
Ho -11.265 -1.047 7.928
Co -9.607 -2.889 6.829
Co -1.514 -3.841 2.191
Ho -12.225 -4.163 11.919
Y -9.767 -3.655 9.593
Co -4.440 -3.837 4.829
Ho -6.846 -2.557 4.268
Y -6.177 -5.893 4.382
Y -1.783 -5.898 0.420
Ho -7.201 -4.170 7.390
Ho -1.822 -2.563 -0.261
Co -12.533 -2.886 9.466
Y -7.869 -0.834 7.276